1.
Here is a relaxed structure of SbPt2Rh from Alexandria via LeMat-Bulk. Energies are from GGA-PBEsol.

```
data_SbPt2Rh
_space_group_name_H-M_alt 'P 4/m m m'
_space_group_IT_number 123
_space_group_name_Hall '-P 4 2'
_cell_length_a 3.9218
_cell_length_b 3.9218
_cell_length_c 4.0982
_cell_angle_alpha 90.00
_cell_angle_beta 90.00
_cell_angle_gamma 90.00
loop_
_atom_site_label
_atom_site_fract_x
_atom_site_fract_y
_atom_site_fract_z
Sb1 0.0000 0.0000 0.0000
Pt1 0.0000 0.5000 0.5000
Rh1 0.5000 0.5000 0.0000
```

Summary:
Total moment   0.00 μB/atom
Crystal system   tetragonal
E   -6.885 eV/atom

2.
Here is a relaxed structure of SbPtRh2 from Alexandria via LeMat-Bulk. Energies are from GGA-PBEsol.

```
data_SbPtRh2
_space_group_name_H-M_alt 'I m m m'
_space_group_IT_number 71
_space_group_name_Hall '-I 2 2'
_cell_length_a 4.0017
_cell_length_b 4.1497
_cell_length_c 7.3901
_cell_angle_alpha 90.00
_cell_angle_beta 90.00
_cell_angle_gamma 90.00
loop_
_atom_site_label
_atom_site_fract_x
_atom_site_fract_y
_atom_site_fract_z
Sb1 0.0000 0.0000 0.0000
Pt1 0.0000 0.0000 0.5000
Rh1 0.0000 0.5000 0.2573
```

Summary:
Total moment   0.00 μB/atom
Crystal system   orthorhombic
E   -7.153 eV/atom

3.
Here is a relaxed structure of SbPtRh2 from Alexandria via LeMat-Bulk. Energies are from GGA-PBEsol.

```
data_SbPtRh2
_space_group_name_H-M_alt 'P m m m'
_space_group_IT_number 47
_space_group_name_Hall '-P 2 2'
_cell_length_a 2.9295
_cell_length_b 3.7143
_cell_length_c 5.6890
_cell_angle_alpha 90.00
_cell_angle_beta 90.00
_cell_angle_gamma 90.00
loop_
_atom_site_label
_atom_site_fract_x
_atom_site_fract_y
_atom_site_fract_z
Sb1 0.0000 0.0000 0.0000
Pt1 0.0000 0.0000 0.5000
Rh1 0.5000 0.5000 0.2537
```

Summary:
Total moment   0.00 μB/atom
Crystal system   orthorhombic
E   -7.031 eV/atom